No. 1
A geometry-optimized LiPtCl structure. Source: the Alexandria database, functional GGA-PBE.

Output
SG   Cm (8)
Uncorrected formation energy   -0.738 eV/atom

abc: 4.732 4.732 8.161
angles: 115.15 115.15 45.17
Element x y z (fractional)
Li (0.000, 0.000, 0.000)
Li (0.044, 0.044, 0.464)
Pt (0.242, 0.242, 0.891)
Pt (0.763, 0.763, 0.120)
Cl (0.279, 0.279, 0.336)
Cl (0.728, 0.728, 0.675)



No. 2
A geometry-optimized CaAg2TeO4 structure. Source: the Alexandria database, functional GGA-PBE.

Output
SG   C2/c (15)
Uncorrected formation energy   -1.026 eV/atom

abc: 6.875 6.875 6.744
angles: 113.74 113.74 100.41
Element x y z (fractional)
Ca (0.000, 0.500, 0.000)
Ca (0.500, 0.000, 0.500)
Ag (0.000, 0.000, 0.000)
Ag (0.000, 0.000, 0.500)
Ag (0.000, 0.500, 0.500)
Ag (0.500, 0.000, 0.000)
Te (0.500, 0.500, 0.000)
Te (0.500, 0.500, 0.500)
O (0.261, 0.298, 0.066)
O (0.271, 0.678, 0.460)
O (0.298, 0.261, 0.566)
O (0.322, 0.729, 0.040)
O (0.678, 0.271, 0.960)
O (0.702, 0.739, 0.434)
O (0.729, 0.322, 0.540)
O (0.739, 0.702, 0.934)



No. 3
A geometry-optimized Sr2HgRu structure. Source: the Alexandria database, functional GGA-PBE.

Output
ΔE_f   0.180 eV/atom
SG   Cmmm (65)

abc: 5.376 5.376 3.788
angles: 90.00 90.00 90.09
Element x y z (fractional)
Sr (0.000, 0.500, 0.000)
Sr (0.500, 0.000, 0.000)
Hg (0.000, 0.000, 0.500)
Ru (0.500, 0.500, 0.500)



No. 4
A geometry-optimized MgTaSe2 structure. Source: the Alexandria database, functional GGA-PBE.

Output
SG   Cmmm (65)
Uncorrected formation energy   -0.169 eV/atom

abc: 3.569 3.569 7.930
angles: 90.00 90.00 123.22
Element x y z (fractional)
Mg (0.000, 0.000, 0.000)
Ta (0.000, 0.000, 0.500)
Se (0.500, 0.500, 0.251)
Se (0.500, 0.500, 0.749)



No. 5
A geometry-optimized TlOs2Br structure. Source: the Alexandria database, functional GGA-PBE.

Output
SG   P4/mmm (123)
Uncorrected formation energy   1.596 eV/atom

abc: 4.655 4.655 3.241
angles: 90.00 90.00 90.00
Element x y z (fractional)
Tl (0.000, 0.000, 0.000)
Os (0.000, 0.500, 0.500)
Os (0.500, 0.000, 0.500)
Br (0.500, 0.500, 0.000)



No. 6
A geometry-optimized MnCuNi6 structure. Source: the Alexandria database, functional GGA-PBE.

Output
ΔE_f   -0.030 eV/atom
SG   Cmmm (65)

abc: 6.154 6.154 10.083
angles: 90.00 90.00 109.81
Element x y z (fractional)
Mn (0.000, 0.000, 0.250)
Mn (0.000, 0.000, 0.750)
Mn (0.248, 0.752, 0.000)
Mn (0.752, 0.248, 0.000)
Cu (0.248, 0.752, 0.500)
Cu (0.500, 0.500, 0.251)
Cu (0.500, 0.500, 0.749)
Cu (0.752, 0.248, 0.500)
Ni (0.000, 0.000, 0.000)
Ni (0.000, 0.000, 0.500)
Ni (0.126, 0.377, 0.375)
Ni (0.126, 0.377, 0.625)
Ni (0.127, 0.376, 0.125)
Ni (0.127, 0.376, 0.875)
Ni (0.250, 0.750, 0.251)
Ni (0.250, 0.750, 0.749)
Ni (0.376, 0.127, 0.125)
Ni (0.376, 0.127, 0.875)
Ni (0.377, 0.126, 0.375)
Ni (0.377, 0.126, 0.625)
Ni (0.500, 0.500, 0.000)
Ni (0.500, 0.500, 0.500)
Ni (0.623, 0.874, 0.375)
Ni (0.623, 0.874, 0.625)
Ni (0.624, 0.873, 0.125)
Ni (0.624, 0.873, 0.875)
Ni (0.750, 0.250, 0.251)
Ni (0.750, 0.250, 0.749)
Ni (0.873, 0.624, 0.125)
Ni (0.873, 0.624, 0.875)
Ni (0.874, 0.623, 0.375)
Ni (0.874, 0.623, 0.625)



No. 7
A geometry-optimized Rb2TlSn5 structure. Source: the Alexandria database, functional GGA-PBE.

Output
ΔE_f   -0.107 eV/atom
SG   Fmm2 (42)

abc: 8.321 8.191 6.666
angles: 67.22 65.17 47.61
Element x y z (fractional)
Rb (0.000, 0.000, 0.500)
Rb (0.500, 0.500, 0.000)
Tl (0.118, 0.118, 0.882)
Sn (0.370, 0.370, 0.630)
Sn (0.523, 0.976, 0.024)
Sn (0.534, 0.971, 0.466)
Sn (0.971, 0.534, 0.029)
Sn (0.976, 0.523, 0.477)



No. 8
A geometry-optimized La2InBr2 structure. Source: the Alexandria database, functional GGA-PBE.

Output
SG   Pnma (62)
Uncorrected formation energy   -0.982 eV/atom

abc: 11.698 5.070 10.973
angles: 90.00 90.00 90.00
Element x y z (fractional)
La (0.129, 0.250, 0.031)
La (0.140, 0.250, 0.649)
La (0.360, 0.750, 0.149)
La (0.371, 0.750, 0.531)
La (0.629, 0.250, 0.469)
La (0.640, 0.250, 0.851)
La (0.860, 0.750, 0.351)
La (0.871, 0.750, 0.969)
In (0.204, 0.750, 0.845)
In (0.296, 0.250, 0.345)
In (0.704, 0.750, 0.655)
In (0.796, 0.250, 0.155)
Br (0.077, 0.750, 0.176)
Br (0.099, 0.750, 0.508)
Br (0.401, 0.250, 0.008)
Br (0.423, 0.250, 0.676)
Br (0.577, 0.750, 0.324)
Br (0.599, 0.750, 0.992)
Br (0.901, 0.250, 0.492)
Br (0.923, 0.250, 0.824)



No. 9
A geometry-optimized Sr2BSe structure. Source: the Alexandria database, functional GGA-PBE.

Output
SG   Fm-3m (225)
Uncorrected formation energy   -0.177 eV/atom

abc: 5.278 5.278 5.278
angles: 60.00 60.00 60.00
Element x y z (fractional)
Sr (0.250, 0.250, 0.250)
Sr (0.750, 0.750, 0.750)
B (0.000, 0.000, 0.000)
Se (0.500, 0.500, 0.500)



No. 10
A geometry-optimized LaPuTc structure. Source: the Alexandria database, functional GGA-PBE.

Output
ΔE_f   0.137 eV/atom
SG   P-6m2 (187)

abc: 4.436 4.436 4.493
angles: 90.00 90.00 120.00
Element x y z (fractional)
La (0.000, 0.000, 0.000)
Pu (0.333, 0.667, 0.500)
Tc (0.667, 0.333, 0.500)



No. 11
A geometry-optimized Tl2GeBRh structure. Source: the Alexandria database, functional GGA-PBE.

Output
ΔE_f   0.598 eV/atom
SG   P4/mmm (123)

abc: 5.012 5.012 4.099
angles: 90.00 90.00 90.00
Element x y z (fractional)
Tl (0.000, 0.500, 0.000)
Tl (0.500, 0.000, 0.000)
Ge (0.000, 0.000, 0.500)
B (0.500, 0.500, 0.000)
Rh (0.500, 0.500, 0.500)



No. 12
A geometry-optimized B5C7 structure. Source: the Alexandria database, functional GGA-PBE.

Output
ΔE_f   0.386 eV/atom
SG   Cm (8)

abc: 6.264 6.264 5.239
angles: 101.24 101.24 22.93
Element x y z (fractional)
B (0.000, 0.000, 0.000)
B (0.016, 0.016, 0.582)
B (0.093, 0.093, 0.297)
B (0.411, 0.411, 0.478)
B (0.695, 0.695, 0.374)
C (0.112, 0.112, 0.836)
C (0.335, 0.335, 0.702)
C (0.342, 0.342, 0.181)
C (0.413, 0.413, 0.971)
C (0.684, 0.684, 0.873)
C (0.762, 0.762, 0.668)
C (0.766, 0.766, 0.147)



No. 13
A geometry-optimized Pr2SiAu3 structure. Source: the Alexandria database, functional GGA-PBE.

Output
SG   Pmm2 (25)
Uncorrected formation energy   -0.758 eV/atom

abc: 3.841 4.476 8.154
angles: 90.00 90.00 90.00
Element x y z (fractional)
Pr (0.000, 0.000, 0.000)
Pr (0.000, 0.500, 0.494)
Si (0.500, 0.000, 0.323)
Au (0.500, 0.000, 0.636)
Au (0.500, 0.500, 0.181)
Au (0.500, 0.500, 0.838)



No. 14
A geometry-optimized Sr2AlPb2 structure. Source: the Alexandria database, functional GGA-PBE.

Output
ΔE_f   -0.326 eV/atom
SG   P4/mbm (127)

abc: 7.936 7.936 5.178
angles: 90.00 90.00 90.00
Element x y z (fractional)
Sr (0.169, 0.331, 0.000)
Sr (0.331, 0.831, 0.000)
Sr (0.669, 0.169, 0.000)
Sr (0.831, 0.669, 0.000)
Al (0.000, 0.000, 0.500)
Al (0.500, 0.500, 0.500)
Pb (0.141, 0.641, 0.500)
Pb (0.359, 0.141, 0.500)
Pb (0.641, 0.859, 0.500)
Pb (0.859, 0.359, 0.500)



No. 15
A geometry-optimized Ba2TlN structure. Source: the Alexandria database, functional GGA-PBE.

Output
SG   R-3m (166)
Uncorrected formation energy   -0.274 eV/atom

abc: 10.589 10.589 10.589
angles: 21.56 21.56 21.56
Element x y z (fractional)
Ba (0.118, 0.118, 0.118)
Ba (0.882, 0.882, 0.882)
Tl (0.000, 0.000, 0.000)
N (0.500, 0.500, 0.500)



No. 16
A geometry-optimized BaRuPt structure. Source: the Alexandria database, functional GGA-PBE.

Output
ΔE_f   0.012 eV/atom
SG   Amm2 (38)

abc: 4.984 4.263 4.263
angles: 63.02 90.00 90.00
Element x y z (fractional)
Ba (0.000, 0.000, 0.000)
Ru (0.500, 0.676, 0.676)
Pt (0.500, 0.324, 0.324)



No. 17
A geometry-optimized AcDy2Lu structure. Source: the Alexandria database, functional GGA-PBE.

Output
ΔE_f   0.160 eV/atom
SG   Fm-3m (225)

abc: 5.784 5.784 5.784
angles: 60.00 60.00 60.00
Element x y z (fractional)
Ac (0.000, 0.000, 0.000)
Dy (0.250, 0.250, 0.250)
Dy (0.750, 0.750, 0.750)
Lu (0.500, 0.500, 0.500)



No. 18
A geometry-optimized PrZn12Pd6 structure. Source: the Alexandria database, functional GGA-PBE.

Output
ΔE_f   -0.339 eV/atom
SG   R-3m (166)

abc: 7.171 7.171 7.171
angles: 104.73 104.73 104.73
Element x y z (fractional)
Pr (0.000, 0.000, 0.000)
Zn (0.111, 0.500, 0.889)
Zn (0.111, 0.889, 0.500)
Zn (0.132, 0.392, 0.392)
Zn (0.392, 0.132, 0.392)
Zn (0.392, 0.392, 0.132)
Zn (0.500, 0.111, 0.889)
Zn (0.500, 0.889, 0.111)
Zn (0.608, 0.608, 0.868)
Zn (0.608, 0.868, 0.608)
Zn (0.868, 0.608, 0.608)
Zn (0.889, 0.111, 0.500)
Zn (0.889, 0.500, 0.111)
Pd (0.280, 0.280, 0.702)
Pd (0.280, 0.702, 0.280)
Pd (0.298, 0.720, 0.720)
Pd (0.702, 0.280, 0.280)
Pd (0.720, 0.298, 0.720)
Pd (0.720, 0.720, 0.298)



No. 19
A geometry-optimized NaTbBiAu structure. Source: the Alexandria database, functional GGA-PBE.

Output
ΔE_f   -0.584 eV/atom
SG   F-43m (216)

abc: 5.260 5.260 5.260
angles: 60.00 60.00 60.00
Element x y z (fractional)
Na (0.000, 0.000, 0.000)
Tb (0.500, 0.500, 0.500)
Bi (0.250, 0.250, 0.250)
Au (0.750, 0.750, 0.750)



No. 20
A geometry-optimized ErTaBe17 structure. Source: the Alexandria database, functional GGA-PBE.

Output
ΔE_f   -0.166 eV/atom
SG   R3m (160)

abc: 5.665 5.665 5.665
angles: 82.92 82.92 82.92
Element x y z (fractional)
Er (0.000, 0.000, 0.000)
Ta (0.326, 0.326, 0.326)
Be (0.008, 0.008, 0.500)
Be (0.008, 0.500, 0.008)
Be (0.163, 0.657, 0.657)
Be (0.321, 0.321, 0.818)
Be (0.321, 0.818, 0.321)
Be (0.376, 0.659, 0.950)
Be (0.376, 0.950, 0.659)
Be (0.500, 0.008, 0.008)
Be (0.562, 0.562, 0.562)
Be (0.657, 0.163, 0.657)
Be (0.657, 0.657, 0.163)
Be (0.659, 0.376, 0.950)
Be (0.659, 0.950, 0.376)
Be (0.754, 0.754, 0.754)
Be (0.818, 0.321, 0.321)
Be (0.950, 0.376, 0.659)
Be (0.950, 0.659, 0.376)



No. 21
A geometry-optimized Cr2GaPdW structure. Source: the Alexandria database, functional GGA-PBE.

Output
ΔE_f   1.271 eV/atom
SG   P4/mmm (123)

abc: 4.590 4.590 4.892
angles: 90.00 90.00 90.00
Element x y z (fractional)
Cr (0.000, 0.500, 0.000)
Cr (0.500, 0.000, 0.000)
Ga (0.000, 0.000, 0.500)
Pd (0.500, 0.500, 0.500)
W (0.000, 0.000, 0.000)



No. 22
A geometry-optimized Ta2GaPt2 structure. Source: the Alexandria database, functional GGA-PBE.

Output
ΔE_f   -0.355 eV/atom
SG   P4/mbm (127)

abc: 7.864 7.864 2.859
angles: 90.00 90.00 90.00
Element x y z (fractional)
Ta (0.170, 0.330, 0.000)
Ta (0.330, 0.830, 0.000)
Ta (0.670, 0.170, 0.000)
Ta (0.830, 0.670, 0.000)
Ga (0.000, 0.000, 0.500)
Ga (0.500, 0.500, 0.500)
Pt (0.126, 0.626, 0.500)
Pt (0.374, 0.126, 0.500)
Pt (0.626, 0.874, 0.500)
Pt (0.874, 0.374, 0.500)



No. 23
A geometry-optimized SrPb2Se structure. Source: the Alexandria database, functional GGA-PBE.

Output
SG   Pmm2 (25)
Uncorrected formation energy   -0.753 eV/atom

abc: 4.331 4.375 7.279
angles: 90.00 90.00 90.00
Element x y z (fractional)
Sr (0.000, 0.000, 0.000)
Pb (0.000, 0.000, 0.510)
Pb (0.500, 0.500, 0.367)
Se (0.500, 0.500, 0.970)



No. 24
A geometry-optimized MgTa2TiV structure. Source: the Alexandria database, functional GGA-PBE.

Output
ΔE_f   0.920 eV/atom
SG   P4/mmm (123)

abc: 4.676 4.676 4.668
angles: 90.00 90.00 90.00
Element x y z (fractional)
Mg (0.000, 0.000, 0.000)
Ta (0.000, 0.500, 0.500)
Ta (0.500, 0.000, 0.500)
Ti (0.500, 0.500, 0.000)
V (0.500, 0.500, 0.500)